No. 1
Crystalline CsPuVBr6 at its relaxed geometry, computed with PBE-GGA.

Computed properties:
- mass density (kg/m3) = 4110
- total magnetic moment (μB/atom) = 0.89

Cell and atoms, written as POSCAR:
```
CsPuVBr6
1.0
7.155 0.000 0.000
-3.578 6.196 0.000
0.000 0.000 8.267
Cs Pu V Br
1 1 1 6
Direct
0.000 0.000 0.000
0.333 0.667 0.500
0.667 0.333 0.500
0.379 0.029 0.310
0.379 0.349 0.690
0.651 0.029 0.690
0.651 0.621 0.310
0.971 0.349 0.310
0.971 0.621 0.690
```

=====

No. 2
Crystalline CsPu2VBr8 at its relaxed geometry, computed with PBE-GGA.

Computed properties:
- mass density (kg/m3) = 4999
- total magnetic moment (μB/atom) = 0.66

Cell and atoms, written as POSCAR:
```
CsPu2VBr8
1.0
6.781 0.000 0.000
0.231 6.938 0.000
0.022 0.014 9.257
Cs Pu V Br
1 2 1 8
Direct
0.000 0.000 0.000
0.500 0.500 0.263
0.500 0.500 0.737
0.000 0.000 0.500
0.237 0.838 0.694
0.238 0.840 0.305
0.249 0.323 0.500
0.266 0.409 0.001
0.734 0.591 0.999
0.751 0.677 0.500
0.762 0.160 0.695
0.763 0.162 0.306
```

=====

No. 3
Crystalline CsYPuBr6 at its relaxed geometry, computed with PBE-GGA.

Computed properties:
- mass density (kg/m3) = 3937
- total magnetic moment (μB/atom) = 0.67

Cell and atoms, written as POSCAR:
```
CsYPuBr6
1.0
7.549 0.000 0.000
-3.775 6.538 0.000
0.000 0.000 16.157
Cs Y Pu Br
2 2 2 12
Direct
0.000 0.000 0.000
0.000 0.000 0.500
0.333 0.667 0.250
0.667 0.333 0.750
0.333 0.667 0.750
0.667 0.333 0.250
0.016 0.381 0.146
0.016 0.635 0.354
0.365 0.381 0.354
0.365 0.984 0.146
0.381 0.016 0.646
0.381 0.365 0.854
0.619 0.635 0.146
0.619 0.984 0.354
0.635 0.016 0.854
0.635 0.619 0.646
0.984 0.365 0.646
0.984 0.619 0.854
```

=====

| no. | formation energy (no corrections) (meV/atom) |
| --- | --- |
| 1 | -1367 |
| 2 | -1304 |
| 3 | -1736 |